26
Lattice="7.554 0.000 0.000 -2.518 7.122 0.000 -2.518 -3.561 6.168" Properties=species:S:1:pos:R:3 comment="Al8Fe5 | Alexandria via LeMat-Bulk | meta-GGA SCAN | PBEsol geometry" formation_enthalpy_0k_ev_per_atom=-0.2927 total_magnetization_mub_per_cell=16.4 e_tot_ev_per_atom=-12.036 sg=I-43m pbc="T T T"
Al 0.533 0.753 1.305
Al -1.985 -2.807 4.863
Al -1.985 5.615 0.000
Al 5.956 0.000 0.000
Al 0.198 0.280 3.837
Al 2.716 3.841 2.331
Al 0.417 4.626 0.000
Al 4.223 1.935 0.000
Al 2.935 1.248 2.161
Al -0.813 2.593 4.492
Al -2.320 -0.378 4.007
Al -2.320 3.659 1.676
Al 0.198 3.183 2.161
Al 2.716 0.098 4.492
Al 4.223 -0.968 1.676
Al 0.417 -2.313 4.007
Fe 1.670 2.361 4.089
Fe -0.848 -1.200 2.078
Fe -0.848 2.400 0.000
Fe 2.545 0.000 0.000
Fe -1.811 1.281 2.218
Fe -3.225 2.280 3.950
Fe 1.811 -1.281 2.218
Fe 3.225 -2.280 3.950
Fe 1.811 2.561 0.000
Fe 3.225 4.561 0.000

=====

4
Lattice="4.592 0.000 0.000 2.296 3.976 0.000 2.296 1.325 3.749" Properties=species:S:1:pos:R:3 comment="LiHgAu2 | Alexandria via LeMat-Bulk | meta-GGA SCAN | PBEsol geometry" formation_enthalpy_0k_ev_per_atom=-0.3069 total_magnetization_mub_per_cell=0.0 e_tot_ev_per_atom=-52.524 sg=F-43m pbc="T T T"
Au 0.000 0.000 0.000
Au 6.887 3.976 2.812
Hg 4.592 2.651 1.875
Li 2.296 1.325 0.937

=====

5
Lattice="-0.883 -3.423 2.691 3.596 1.036 2.498 -2.552 2.675 2.565" Properties=species:S:1:pos:R:3 comment="NaSiGeRh2 | Alexandria via LeMat-Bulk | meta-GGA SCAN | PBEsol geometry" raw_formation_energy_ev_per_atom=1.683 total_magnetization_mub_per_cell=0.0 e_tot_ev_per_atom=-18.490 sg=P4/mmm pbc="T T T"
Na 0.000 0.000 0.000
Ge -0.441 -1.712 1.345
Rh -1.276 1.337 1.283
Rh 1.798 0.518 1.249
Si 0.081 0.144 3.877

=====

5
Lattice="-0.471 -2.098 3.255 3.726 -1.137 -0.193 1.053 3.086 2.141" Properties=species:S:1:pos:R:3 comment="InTcO3 | Alexandria via LeMat-Bulk | meta-GGA SCAN | PBEsol geometry" raw_formation_energy_ev_per_atom=-1.239 total_magnetization_mub_per_cell=0.4 e_tot_ev_per_atom=-18.667 sg=Pm-3m pbc="T T T"
Tc 0.000 0.000 0.000
O 1.863 -0.569 -0.097
O 0.526 1.543 1.071
O -0.236 -1.049 1.627
In 2.154 -0.075 2.601

=====

4
Lattice="4.766 0.000 0.000 2.383 4.127 0.000 2.383 1.376 3.891" Properties=species:S:1:pos:R:3 comment="TiCI2 | Alexandria via LeMat-Bulk | meta-GGA SCAN | PBEsol geometry" raw_formation_energy_ev_per_atom=1.476 total_magnetization_mub_per_cell=0.0 e_tot_ev_per_atom=-23.427 sg=Fm-3m pbc="T T T"
I 2.383 1.376 0.973
I 7.149 4.127 2.918
C 0.000 0.000 0.000
Ti 4.766 2.752 1.946

=====

9
Lattice="3.755 0.000 0.000 0.000 7.906 0.000 0.000 -3.953 6.847" Properties=species:S:1:pos:R:3 comment="Zr2Tl | Alexandria via LeMat-Bulk | meta-GGA SCAN | PBEsol geometry" formation_enthalpy_0k_ev_per_atom=-0.2361 total_magnetization_mub_per_cell=0.0 e_tot_ev_per_atom=-44.821 sg=P-62m pbc="T T T"
Tl 0.000 3.953 2.282
Tl 0.000 0.000 4.564
Tl 1.878 0.000 0.000
Zr 0.000 2.876 4.982
Zr 0.000 -1.077 1.865
Zr 0.000 2.153 0.000
Zr 1.878 1.563 2.707
Zr 1.878 -2.390 4.140
Zr 1.878 4.780 0.000

=====

14
Lattice="5.735 0.000 0.000 -2.867 5.240 -0.044 0.000 -3.088 4.933" Properties=species:S:1:pos:R:3 comment="Li2Mn3NbO8 | Alexandria via LeMat-Bulk | meta-GGA SCAN | PBEsol geometry" relative_energy_ev_per_atom=0.073 raw_formation_energy_ev_per_atom=-2.307 total_magnetization_mub_per_cell=10.0 e_tot_ev_per_atom=-12.487 sg=C2/m pbc="T T T"
Li 2.867 1.897 3.010
Li 0.000 0.255 1.879
Mn 2.867 0.000 0.000
Mn 1.434 2.620 -0.022
Mn -1.434 2.620 -0.022
Nb 2.867 -1.544 2.466
O 2.867 1.725 0.921
O 0.000 0.427 3.968
O 1.310 2.867 3.676
O 2.867 0.097 3.742
O -1.310 2.867 3.676
O 4.178 -0.715 1.213
O 0.000 2.055 1.147
O 1.557 -0.715 1.213

=====

3
Lattice="-3.771 1.342 -0.288 1.216 -3.070 -2.280 -1.580 -3.584 3.983" Properties=species:S:1:pos:R:3 comment="YMgAs | Alexandria via LeMat-Bulk | meta-GGA SCAN | PBEsol geometry" formation_enthalpy_0k_ev_per_atom=-0.7552 relative_energy_ev_per_atom=0.045 total_magnetization_mub_per_cell=0.0 e_tot_ev_per_atom=-18.424 sg=P3m1 pbc="T T T"
Y -2.530 -1.086 0.112
As -1.565 -3.550 3.946
Mg -1.619 -4.259 1.340

=====

5
Lattice="-0.646 -3.669 3.392 3.719 -2.708 -2.220 3.440 2.219 3.055" Properties=species:S:1:pos:R:3 comment="Hg2IrRuPb | Alexandria via LeMat-Bulk | meta-GGA SCAN | PBEsol geometry" formation_enthalpy_0k_ev_per_atom=1.0681 total_magnetization_mub_per_cell=3.3 e_tot_ev_per_atom=-62.540 sg=P4/mmm pbc="T T T"
Pb -0.323 -1.834 1.696
Ru 3.256 -2.079 2.113
Ir 0.000 0.000 0.000
Hg 1.720 1.110 1.528
Hg 1.859 -1.354 -1.110

=====

4
Lattice="4.580 0.000 0.000 2.290 3.967 0.000 2.290 1.322 7.577" Properties=species:S:1:pos:R:3 comment="BeInTe2 | Alexandria via LeMat-Bulk | meta-GGA SCAN | PBEsol geometry" relative_energy_ev_per_atom=0.162 raw_formation_energy_ev_per_atom=0.071 total_magnetization_mub_per_cell=0.0 e_tot_ev_per_atom=-27.990 sg=R-3m pbc="T T T"
Be 0.000 0.000 0.000
Te 2.290 1.322 5.348
Te 6.871 3.967 2.229
In 4.580 2.644 3.788

=====

23
Lattice="5.739 0.000 0.000 0.000 10.269 0.000 0.000 -5.134 8.893" Properties=species:S:1:pos:R:3 comment="La6MgGe2S14 | Alexandria via LeMat-Bulk | meta-GGA SCAN | PBEsol geometry" raw_formation_energy_ev_per_atom=-1.941 total_magnetization_mub_per_cell=0.0 e_tot_ev_per_atom=-20.922 sg=P3 pbc="T T T"
La 4.329 2.108 4.078
La 4.329 -2.657 5.028
La 4.329 0.549 8.680
La 1.415 8.152 1.839
La 1.415 2.651 0.914
La 1.415 4.600 6.140
Mg 2.939 5.134 2.964
Ge 0.989 0.000 5.929
Ge 3.806 0.000 0.000
S 0.115 1.928 6.637
S 0.115 -0.350 3.905
S 0.115 -1.578 7.244
S 2.948 3.207 8.172
S 2.948 0.339 2.030
S 2.948 -3.546 7.584
S 3.167 0.000 5.929
S 0.250 0.000 0.000
S 1.567 3.051 3.746
S 1.567 6.854 4.378
S 1.567 5.499 0.769
S 4.318 7.227 2.206
S 4.318 3.432 1.532
S 4.318 4.745 5.155

=====

4
Lattice="-1.623 2.670 -1.592 -3.033 -1.753 0.152 -1.195 2.542 5.479" Properties=species:S:1:pos:R:3 comment="YInTc2 | Alexandria via LeMat-Bulk | meta-GGA SCAN | PBEsol geometry" formation_enthalpy_0k_ev_per_atom=0.1707 total_magnetization_mub_per_cell=0.0 e_tot_ev_per_atom=-32.667 sg=P4/mmm pbc="T T T"
In -2.925 1.729 2.019
Tc -0.836 1.778 3.832
Tc -0.359 0.764 1.647
Y -2.328 0.458 -0.720

=====

5
Lattice="4.527 0.000 0.000 0.000 4.527 0.000 0.000 0.000 5.329" Properties=species:S:1:pos:R:3 comment="LaTaNi2Sn | Alexandria via LeMat-Bulk | meta-GGA SCAN | PBEsol geometry" formation_enthalpy_0k_ev_per_atom=1.5947 total_magnetization_mub_per_cell=1.0 e_tot_ev_per_atom=-33.997 sg=P4/mmm pbc="T T T"
Ni 0.000 2.264 0.000
Ni 2.264 0.000 0.000
La 0.000 0.000 0.000
Sn 2.264 2.264 2.664
Ta 0.000 0.000 2.664

=====

8
Lattice="4.587 0.000 0.000 0.000 4.587 0.000 -2.294 -2.294 4.511" Properties=species:S:1:pos:R:3 comment="KBeO2 | Alexandria via LeMat-Bulk | meta-GGA SCAN | PBEsol geometry" raw_formation_energy_ev_per_atom=-1.964 total_magnetization_mub_per_cell=0.8 e_tot_ev_per_atom=-8.250 sg=I4_1/amd pbc="T T T"
Be 2.294 2.294 0.000
Be 2.294 0.000 2.255
K 0.000 0.000 0.000
K 0.000 2.294 2.255
O 1.147 0.000 3.383
O -1.147 0.000 3.383
O 2.294 3.441 1.128
O 2.294 1.147 1.128

=====

5
Lattice="-3.184 0.481 -2.786 1.930 -2.696 -2.672 -4.569 -7.094 7.250" Properties=species:S:1:pos:R:3 comment="Ba2Na2Zn | Alexandria via LeMat-Bulk | meta-GGA SCAN | PBEsol geometry" formation_enthalpy_0k_ev_per_atom=-0.0062 total_magnetization_mub_per_cell=0.2 e_tot_ev_per_atom=-20.215 sg=I4/mmm pbc="T T T"
Na -1.633 -5.449 0.925
Na -4.190 -3.860 0.868
Zn 0.000 0.000 0.000
Ba -4.295 -6.780 3.738
Ba -1.527 -2.528 -1.945

=====

4
Lattice="4.276 0.000 0.000 2.138 3.703 0.000 2.138 1.234 3.491" Properties=species:S:1:pos:R:3 comment="TlNi2Ir | Alexandria via LeMat-Bulk | meta-GGA SCAN | PBEsol geometry" formation_enthalpy_0k_ev_per_atom=0.4260 relative_energy_ev_per_atom=0.077 total_magnetization_mub_per_cell=0.0 e_tot_ev_per_atom=-43.525 sg=Fm-3m pbc="T T T"
Ir 0.000 0.000 0.000
Ni 6.414 3.703 2.618
Ni 2.138 1.234 0.873
Tl 4.276 2.469 1.746

=====

6
Lattice="-5.371 0.488 0.599 -2.425 -1.971 4.436 -2.018 3.393 3.723" Properties=species:S:1:pos:R:3 comment="CaTlZn4 | Alexandria via LeMat-Bulk | meta-GGA SCAN | PBEsol geometry" formation_enthalpy_0k_ev_per_atom=-0.1085 total_magnetization_mub_per_cell=0.0 e_tot_ev_per_atom=-22.789 sg=F-43m pbc="T T T"
Ca -7.360 1.432 6.568
Tl 0.000 0.000 0.000
Zn -3.690 0.718 3.293
Zn -4.691 2.401 5.140
Zn -6.354 0.960 3.590
Zn -4.893 -0.260 5.493

=====

6
Lattice="3.694 0.000 0.000 0.000 5.775 0.000 0.000 0.000 6.015" Properties=species:S:1:pos:R:3 comment="MgCl2 | Alexandria via LeMat-Bulk | meta-GGA SCAN | PBEsol geometry" raw_formation_energy_ev_per_atom=-2.073 total_magnetization_mub_per_cell=0.0 e_tot_ev_per_atom=-9.049 sg=Pnnm pbc="T T T"
Mg 0.000 0.000 0.000
Mg 1.847 2.888 3.007
Cl 0.000 1.593 4.037
Cl 0.000 4.183 1.978
Cl 1.847 4.480 4.985
Cl 1.847 1.295 1.030

=====

4
Lattice="4.990 0.000 0.000 2.495 4.321 0.000 2.495 1.440 4.074" Properties=species:S:1:pos:R:3 comment="BeCd2Te | Alexandria via LeMat-Bulk | meta-GGA SCAN | PBEsol geometry" relative_energy_ev_per_atom=0.393 raw_formation_energy_ev_per_atom=0.618 total_magnetization_mub_per_cell=0.0 e_tot_ev_per_atom=-24.990 sg=Fm-3m pbc="T T T"
Be 0.000 0.000 0.000
Te 4.990 2.881 2.037
Cd 2.495 1.440 1.018
Cd 7.484 4.321 3.055

=====

4
Lattice="-2.647 1.898 -0.891 -2.177 -1.548 3.172 2.381 5.301 4.221" Properties=species:S:1:pos:R:3 comment="Cd2SbPb | Alexandria via LeMat-Bulk | meta-GGA SCAN | PBEsol geometry" relative_energy_ev_per_atom=0.035 raw_formation_energy_ev_per_atom=0.089 total_magnetization_mub_per_cell=0.0 e_tot_ev_per_atom=-43.378 sg=Pmm2 pbc="T T T"
Pb 1.132 2.520 2.006
Sb -0.529 4.369 4.480
Cd 0.023 0.051 0.040
Cd -1.879 1.363 2.087

=====

8
Lattice="4.825 0.000 0.000 0.000 6.776 0.014 0.000 -0.117 6.775" Properties=species:S:1:pos:R:3 comment="Y5Sc3 | Alexandria via LeMat-Bulk | meta-GGA SCAN | PBEsol geometry" formation_enthalpy_0k_ev_per_atom=0.0948 total_magnetization_mub_per_cell=0.0 e_tot_ev_per_atom=-22.646 sg=Cmmm pbc="T T T"
Sc 0.000 3.329 3.395
Sc 2.412 5.037 1.719
Sc 2.412 1.621 5.070
Y 0.000 0.000 0.000
Y 0.000 3.388 0.007
Y 0.000 -0.059 3.387
Y 2.412 4.959 5.056
Y 2.412 1.700 1.733

=====

4
Lattice="4.406 0.000 0.000 2.203 3.815 0.000 2.203 1.272 3.597" Properties=species:S:1:pos:R:3 comment="ZnCSe2 | Alexandria via LeMat-Bulk | meta-GGA SCAN | PBEsol geometry" raw_formation_energy_ev_per_atom=1.603 total_magnetization_mub_per_cell=0.0 e_tot_ev_per_atom=-14.340 sg=Fm-3m pbc="T T T"
Zn 4.406 2.544 1.799
C 0.000 0.000 0.000
Se 2.203 1.272 0.899
Se 6.608 3.815 2.698

=====

6
Lattice="5.461 0.000 0.000 2.731 4.730 0.000 2.731 1.577 4.459" Properties=species:S:1:pos:R:3 comment="BaAlW4 | Alexandria via LeMat-Bulk | meta-GGA SCAN | PBEsol geometry" formation_enthalpy_0k_ev_per_atom=1.0437 total_magnetization_mub_per_cell=0.0 e_tot_ev_per_atom=-53.299 sg=F-43m pbc="T T T"
Al 8.192 4.730 3.344
Ba 0.000 0.000 0.000
W 4.091 2.362 1.670
W 5.461 3.153 3.907
W 6.831 2.362 1.670
W 5.461 4.735 1.670

=====

5
Lattice="3.845 0.000 0.000 0.000 3.845 0.000 -1.922 -1.922 12.574" Properties=species:S:1:pos:R:3 comment="Rb2Zr2Sb | Alexandria via LeMat-Bulk | meta-GGA SCAN | PBEsol geometry" raw_formation_energy_ev_per_atom=0.510 total_magnetization_mub_per_cell=0.0 e_tot_ev_per_atom=-27.518 sg=I4/mmm pbc="T T T"
Sb 0.000 0.000 0.000
Rb 0.000 0.000 10.039
Rb 1.922 1.922 2.535
Zr 0.000 1.922 6.287
Zr 1.922 0.000 6.287

=====

4
Lattice="3.461 0.000 0.000 0.000 3.461 0.000 0.000 0.000 8.848" Properties=species:S:1:pos:R:3 comment="HgPb2Cl | Alexandria via LeMat-Bulk | meta-GGA SCAN | PBEsol geometry" relative_energy_ev_per_atom=0.126 raw_formation_energy_ev_per_atom=-0.231 total_magnetization_mub_per_cell=0.0 e_tot_ev_per_atom=-57.158 sg=P4mm pbc="T T T"
Pb 0.000 0.000 8.823
Pb 1.731 1.731 2.416
Hg 1.731 1.731 6.544
Cl 0.000 0.000 4.336

=====

4
Lattice="-2.894 1.549 1.983 -0.132 -3.112 2.238 4.144 2.477 0.403" Properties=species:S:1:pos:R:3 comment="CrRe2Hg | Alexandria via LeMat-Bulk | meta-GGA SCAN | PBEsol geometry" formation_enthalpy_0k_ev_per_atom=0.6841 total_magnetization_mub_per_cell=0.0 e_tot_ev_per_atom=-56.502 sg=I4/mmm pbc="T T T"
Cr -1.513 -0.781 2.111
Hg 0.000 0.000 0.000
Re -0.132 1.623 2.249
Re 1.249 -0.708 2.376